Arrangement w

DFT (PBE) results for crystalline NiIr2Au at its relaxed geometry.

Cell lengths 4.8453, 4.8453, 4.6718 Å; angles 77.42, 77.42, 33.07 degrees
With the nearest neighbours (Å) after each atom.
Element x y z (fractional)
Au  0.2500  0.2500  0.2500  4 Ni 2.71, 6 Ir 2.74-2.87, 2 Au 2.76
Ir  0.0174  0.0174  0.9803  2 Ni 2.58, 6 Ir 2.64-2.83, 3 Au 2.74-2.87
Ir  0.4826  0.4826  0.5197  2 Ni 2.58, 6 Ir 2.64-2.83, 3 Au 2.74-2.87
Ni  0.7500  0.7500  0.7500  4 Ir 2.58, 4 Au 2.71, 2 Ni 2.76

Calculated values
**Calculated density**: 18.2 g/cm³
**Symmetry**: C2/m (12)

Arrangement x

DFT (PBE) results for crystalline NiIr2Au at its relaxed geometry.

Cell lengths 4.6700, 2.7307, 4.6650 Å; angles 89.65, 90.00, 90.00 degrees
With the nearest neighbours (Å) after each atom.
Element x y z (fractional)
Ni  0.5000  0.2500  0.2500  4 Ir 2.67, 4 Au 2.70-2.71, 2 Ni 2.73
Ir  0.0000  0.4938  0.4885  6 Ir 2.60-2.82, 2 Ni 2.67, 2 Au 2.73
Ir  0.0000  0.0062  0.0115  6 Ir 2.60-2.82, 2 Ni 2.67, 2 Au 2.73
Au  0.5000  0.7500  0.7500  4 Ni 2.70-2.71, 4 Ir 2.73, 2 Au 2.73

Calculated values
**Calculated density**: 17.9 g/cm³
**Symmetry**: P2/m (10)

Arrangement y

DFT (PBE) results for crystalline NiIr2Au at its relaxed geometry.

Cell lengths 3.9307, 3.8478, 3.8478 Å; angles 90.00, 90.00, 90.00 degrees
With the nearest neighbours (Å) after each atom.
Element x y z (fractional)
Ni  0.5000  0.5000  0.0000  4 Au 2.72, 8 Ir 2.75
Ir  0.0000  0.0000  0.0000  4 Ir 2.72, 4 Au 2.75, 4 Ni 2.75
Au  0.5000  0.0000  0.5000  4 Ni 2.72, 8 Ir 2.75
Ir  0.0000  0.5000  0.5000  4 Ir 2.72, 4 Au 2.75, 4 Ni 2.75

Calculated values
**Calculated density**: 18.3 g/cm³
**Symmetry**: P4/mmm (123)

Least stable = arrangement x

Arrangement w

DFT (PBE) results for crystalline NiIr2Au at its relaxed geometry.

Cell lengths 4.3754, 4.3754, 4.3754 Å; angles 60.00, 60.00, 60.00 degrees
With the nearest neighbours (Å) after each atom.
Element x y z (fractional)
Ir  0.7500  0.7500  0.7500  4 Ir 2.68, 4 Au 2.68
Au  0.5000  0.5000  0.5000  4 Ir 2.68, 4 Ni 2.68
Ni  0.2500  0.2500  0.2500  4 Ir 2.68, 4 Au 2.68
Ir  0.0000  0.0000  0.0000  4 Ir 2.68, 4 Ni 2.68

Calculated values
**Calculated density**: 17.9 g/cm³
**Symmetry**: F-43m (216)

Arrangement x

DFT (PBE) results for crystalline NiIr2Au at its relaxed geometry.

Cell lengths 9.0038, 9.0038, 9.0038 Å; angles 17.64, 17.64, 17.64 degrees
With the nearest neighbours (Å) after each atom.
Element x y z (fractional)
Au  0.7544  0.7544  0.7544  3 Ni 2.72, 6 Au 2.76, 3 Ir 2.94
Ir  0.2466  0.2466  0.2466  3 Ni 2.57, 9 Ir 2.69-2.76
Ni  0.5041  0.5041  0.5041  3 Ir 2.57, 3 Au 2.72, 6 Ni 2.76
Ir  0.9949  0.9949  0.9949  9 Ir 2.69-2.76, 3 Au 2.94

Calculated values
**Calculated density**: 18.2 g/cm³
**Symmetry**: R3m (160)

Arrangement y

DFT (PBE) results for crystalline NiIr2Au at its relaxed geometry.

Cell lengths 5.3323, 5.3323, 5.3323 Å; angles 149.86, 128.42, 60.91 degrees
With the nearest neighbours (Å) after each atom.
Element x y z (fractional)
Ir  0.9882  0.9882  0.0000  4 Ir 2.63-2.77, 4 Ni 2.71, 2 Au 2.84
Au  0.2580  0.7580  0.5000  2 Ni 2.69, 6 Ir 2.71-2.84, 2 Au 2.77
Ir  0.7449  0.2449  0.5000  2 Ni 2.57, 4 Ir 2.63-2.77, 4 Au 2.71
Ni  0.5089  0.5089  0.0000  6 Ir 2.57-2.71, 2 Au 2.69, 2 Ni 2.77

Calculated values
**Calculated density**: 18.0 g/cm³
**Symmetry**: Imm2 (44)

Arrangement z

DFT (PBE) results for crystalline NiIr2Au at its relaxed geometry.

Cell lengths 2.7373, 2.7373, 9.2693 Å; angles 90.00, 90.00, 120.33 degrees
With the nearest neighbours (Å) after each atom.
Element x y z (fractional)
Au  0.5000  0.5000  0.7374  2 Ni 2.67, 6 Au 2.72-2.74, 2 Ir 2.90
Ni  0.0000  0.0000  0.4892  2 Ir 2.53, 2 Au 2.67, 6 Ni 2.72-2.74
Ir  0.5000  0.5000  0.2595  2 Ni 2.53, 8 Ir 2.65-2.74
Ir  0.0000  0.0000  0.0139  8 Ir 2.65-2.74, 2 Au 2.90

Calculated values
**Calculated density**: 17.7 g/cm³
**Symmetry**: Cmm2 (35)

Least stable = arrangement w

Arrangement w

DFT (PBE) results for crystalline NiIrAu at its relaxed geometry.

Cell lengths 6.0717, 6.0717, 6.0717 Å; angles 153.72, 153.72, 37.51 degrees
With the nearest neighbours (Å) after each atom.
Element x y z (fractional)
Au  0.0066  0.0066  0.0000  4 Ni 2.75, 4 Au 2.76, 4 Ir 2.92
Ir  0.3178  0.3178  0.0000  4 Ni 2.55, 4 Ir 2.76
Ni  0.6756  0.6756  0.0000  4 Ir 2.55, 4 Au 2.75, 4 Ni 2.76

Calculated values
**Calculated density**: 17.0 g/cm³
**Symmetry**: I4mm (107)

Arrangement x

DFT (PBE) results for crystalline NiIrAu at its relaxed geometry.

Cell lengths 7.2875, 7.0359, 2.7291 Å; angles 84.25, 73.87, 21.88 degrees
With the nearest neighbours (Å) after each atom.
Element x y z (fractional)
Au  0.0066  0.0066  0.9934  2 Ni 2.67, 6 Au 2.73-2.77, 2 Ir 2.91
Ni  0.6719  0.6719  0.3281  2 Ir 2.49, 2 Au 2.67, 6 Ni 2.73-2.77
Ir  0.3215  0.3215  0.6785  2 Ni 2.49, 6 Ir 2.73-2.77

Calculated values
**Calculated density**: 16.5 g/cm³
**Symmetry**: Fmm2 (42)

Least stable = arrangement x

Arrangement w

DFT (PBE) results for crystalline NpIrAu at its relaxed geometry.

Cell lengths 3.3648, 3.3648, 5.7983 Å; angles 106.87, 106.87, 90.00 degrees
With the nearest neighbours (Å) after each atom.
Element x y z (fractional)
Au  0.9890  0.9890  0.9780  4 Ir 2.95, 5 Np 3.17-3.20
Np  0.6868  0.6868  0.3736  4 Ir 2.79
Ir  0.3242  0.3242  0.6484  4 Np 2.79, 4 Au 2.95

Calculated values
**Calculated density**: 17.4 g/cm³
**Symmetry**: I4mm (107)

Arrangement x

DFT (PBE) results for crystalline NpIrAu at its relaxed geometry.

Cell lengths 3.9548, 3.9547, 15.2473 Å; angles 90.00, 90.00, 90.00 degrees
With the nearest neighbours (Å) after each atom.
Element x y z (fractional)
Np  0.7498  0.2500  0.6712  5 Ir 2.80-2.82
Au  0.7500  0.7500  0.5000  4 Au 2.80, 4 Ir 2.97
Ir  0.7498  0.2500  0.8549  5 Np 2.80-2.82, 4 Au 2.97
Ir  0.7502  0.2500  0.3549  5 Np 2.80-2.82, 4 Au 2.97
Au  0.7500  0.7500  0.0000  4 Au 2.80, 4 Ir 2.97
Np  0.7502  0.2500  0.1712  5 Ir 2.80-2.82
Np  0.2498  0.7500  0.8288  5 Ir 2.80-2.82
Au  0.2500  0.2500  0.0000  4 Au 2.80, 4 Ir 2.97
Au  0.2500  0.2500  0.5000  4 Au 2.80, 4 Ir 2.97
Ir  0.2498  0.7500  0.6451  5 Np 2.80-2.82, 4 Au 2.97
Ir  0.2502  0.7500  0.1451  5 Np 2.80-2.82, 4 Au 2.97
Np  0.2502  0.7500  0.3288  5 Ir 2.80-2.82

Calculated values
**Calculated density**: 17.4 g/cm³
**Symmetry**: P4/nmm (129)

Least stable = arrangement w

Arrangement w

DFT (PBE) results for crystalline P2IrAuO at its relaxed geometry.

Cell lengths 4.7906, 4.7906, 3.7897 Å; angles 90.00, 90.00, 90.00 degrees
With the nearest neighbours (Å) after each atom.
Element x y z (fractional)
P  0.0000  0.5000  0.0000  2 Au 2.40
Au  0.0000  0.0000  0.0000  2 O 1.89
O  0.0000  0.0000  0.5000  2 Au 1.89
Ir  0.5000  0.5000  0.5000  8 P 3.05, 4 O 3.39
P  0.5000  0.0000  0.0000  2 Au 2.40

Calculated values
**Calculated density**: 8.9 g/cm³
**Symmetry**: P4/mmm (123)

Arrangement x

DFT (PBE) results for crystalline P2IrAuO at its relaxed geometry.

Cell lengths 4.8068, 4.8068, 3.6809 Å; angles 90.00, 90.00, 90.00 degrees
With the nearest neighbours (Å) after each atom.
Element x y z (fractional)
P  0.0000  0.5000  0.0000  2 Ir 2.40
O  0.0000  0.0000  0.5000  2 Ir 1.84
Ir  0.0000  0.0000  0.0000  2 O 1.84
P  0.5000  0.0000  0.0000  2 Ir 2.40
Au  0.5000  0.5000  0.5000  8 P 3.03

Calculated values
**Calculated density**: 9.1 g/cm³
**Symmetry**: P4/mmm (123)

Least stable = arrangement w

Arrangement w

DFT (PBE) results for crystalline PIr3Au at its relaxed geometry.

Cell lengths 4.4068, 4.4068, 4.4068 Å; angles 90.00, 90.00, 90.00 degrees
With the nearest neighbours (Å) after each atom.
Element x y z (fractional)
Ir  0.0000  0.5000  0.0000  2 P 2.20
Ir  0.5000  0.0000  0.0000  2 P 2.20
Ir  0.0000  0.0000  0.5000  2 P 2.20
P  0.0000  0.0000  0.0000  6 Ir 2.20
Au  0.5000  0.5000  0.5000  12 Ir 3.12

Calculated values
**Calculated density**: 15.6 g/cm³
**Symmetry**: Pm-3m (221)

Arrangement x

DFT (PBE) results for crystalline PIr3Au at its relaxed geometry.

Cell lengths 4.8626, 4.8626, 4.8626 Å; angles 90.00, 90.00, 90.00 degrees
With the nearest neighbours (Å) after each atom.
Element x y z (fractional)
Ir  0.0000  0.0000  0.5000  2 Au 2.43
Ir  0.5000  0.0000  0.0000  2 Au 2.43
Ir  0.0000  0.5000  0.0000  2 Au 2.43
P  0.5000  0.5000  0.5000  12 Ir 3.44
Au  0.0000  0.0000  0.0000  6 Ir 2.43

Calculated values
**Calculated density**: 11.6 g/cm³
**Symmetry**: Pm-3m (221)

Least stable = arrangement x

Arrangement w

DFT (PBE) results for crystalline PuPaIrAu at its relaxed geometry.

Cell lengths 4.8019, 4.8019, 4.8019 Å; angles 60.00, 60.00, 60.00 degrees
With the nearest neighbours (Å) after each atom.
Element x y z (fractional)
Au  0.5000  0.5000  0.5000  4 Pu 2.94, 4 Ir 2.94
Pa  0.0000  0.0000  0.0000  4 Ir 2.94, 4 Pu 2.94
Ir  0.2500  0.2500  0.2500  4 Pa 2.94, 4 Au 2.94
Pu  0.7500  0.7500  0.7500  4 Au 2.94, 4 Pa 2.94

Calculated values
**Calculated density**: 18.3 g/cm³
**Symmetry**: F-43m (216)

Arrangement x

DFT (PBE) results for crystalline PuPaIrAu at its relaxed geometry.

Cell lengths 4.9867, 4.9867, 4.9867 Å; angles 60.00, 60.00, 60.00 degrees
With the nearest neighbours (Å) after each atom.
Element x y z (fractional)
Pa  0.2500  0.2500  0.2500  4 Ir 3.05, 4 Au 3.05
Pu  0.7500  0.7500  0.7500  4 Au 3.05, 4 Ir 3.05
Au  0.0000  0.0000  0.0000  4 Pa 3.05, 4 Pu 3.05
Ir  0.5000  0.5000  0.5000  4 Pu 3.05, 4 Pa 3.05

Calculated values
**Calculated density**: 16.4 g/cm³
**Symmetry**: F-43m (216)

Least stable = arrangement x

Arrangement w

DFT (PBE) results for crystalline IrPbAu3 at its relaxed geometry.

Cell lengths 5.1925, 5.1925, 5.1925 Å; angles 90.00, 90.00, 90.00 degrees
With the nearest neighbours (Å) after each atom.
Element x y z (fractional)
Au  0.0000  0.0000  0.5000  2 Pb 2.60
Au  0.5000  0.0000  0.0000  2 Pb 2.60
Au  0.0000  0.5000  0.0000  2 Pb 2.60
Ir  0.5000  0.5000  0.5000  12 Au 3.67
Pb  0.0000  0.0000  0.0000  6 Au 2.60

Calculated values
**Calculated density**: 11.7 g/cm³
**Symmetry**: Pm-3m (221)

Arrangement x

DFT (PBE) results for crystalline IrPbAu3 at its relaxed geometry.

Cell lengths 5.0651, 5.0651, 5.0651 Å; angles 90.00, 90.00, 90.00 degrees
With the nearest neighbours (Å) after each atom.
Element x y z (fractional)
Au  0.5000  0.0000  0.0000  2 Ir 2.53
Ir  0.0000  0.0000  0.0000  6 Au 2.53
Au  0.0000  0.5000  0.0000  2 Ir 2.53
Pb  0.5000  0.5000  0.5000  12 Au 3.58
Au  0.0000  0.0000  0.5000  2 Ir 2.53

Calculated values
**Calculated density**: 12.7 g/cm³
**Symmetry**: Pm-3m (221)

Least stable = arrangement w

Arrangement w

DFT (PBE) results for crystalline IrPd2Au at its relaxed geometry.

Cell lengths 5.8640, 5.8640, 7.0973 Å; angles 65.60, 65.60, 90.00 degrees
With the nearest neighbours (Å) after each atom.
Element x y z (fractional)
Ir  0.2500  0.7500  0.5000  4 Pd 2.42
Pd  0.5923  0.1250  0.2500  2 Ir 2.42, 2 Au 2.64
Pd  0.1577  0.6250  0.2500  2 Ir 2.42, 2 Au 2.64
Au  0.7500  0.2500  0.5000  4 Pd 2.64
Au  0.0000  0.0000  0.0000  4 Pd 2.64
Pd  0.8750  0.8423  0.7500  2 Ir 2.42, 2 Au 2.64
Pd  0.3750  0.4077  0.7500  2 Ir 2.42, 2 Au 2.64
Ir  0.5000  0.5000  0.0000  4 Pd 2.42

Calculated values
**Calculated density**: 10.1 g/cm³
**Symmetry**: I-42d (122)

Arrangement x

DFT (PBE) results for crystalline IrPd2Au at its relaxed geometry.

Cell lengths 2.8130, 2.8130, 9.3237 Å; angles 81.32, 81.32, 60.00 degrees
With the nearest neighbours (Å) after each atom.
Element x y z (fractional)
Au  0.5000  0.5000  0.5000  6 Au 2.81, 6 Pd 2.90
Pd  0.2538  0.2538  0.2387  3 Ir 2.73, 6 Pd 2.81, 3 Au 2.90
Pd  0.7462  0.7462  0.7613  3 Ir 2.73, 6 Pd 2.81, 3 Au 2.90
Ir  0.0000  0.0000  0.0000  6 Pd 2.73, 6 Ir 2.81

Calculated values
**Calculated density**: 15.9 g/cm³
**Symmetry**: R-3m (166)

Arrangement y

DFT (PBE) results for crystalline IrPd2Au at its relaxed geometry.

Cell lengths 4.4806, 4.4806, 4.4806 Å; angles 60.00, 60.00, 60.00 degrees
With the nearest neighbours (Å) after each atom.
Element x y z (fractional)
Pd  0.7500  0.7500  0.7500  4 Ir 2.74, 4 Au 2.74
Pd  0.2500  0.2500  0.2500  4 Ir 2.74, 4 Au 2.74
Au  0.5000  0.5000  0.5000  8 Pd 2.74
Ir  0.0000  0.0000  0.0000  8 Pd 2.74

Calculated values
**Calculated density**: 15.7 g/cm³
**Symmetry**: Fm-3m (225)

Least stable = arrangement w

Arrangement w

DFT (PBE) results for crystalline IrPdAu2 at its relaxed geometry.

Cell lengths 3.8651, 3.8651, 9.9594 Å; angles 78.81, 78.81, 90.00 degrees
With the nearest neighbours (Å) after each atom.
Element x y z (fractional)
Pd  0.5000  0.5000  0.0000  4 Ir 2.73, 4 Au 2.76
Au  0.6289  0.1250  0.2500  4 Au 2.71-2.75, 2 Ir 2.75, 2 Pd 2.76
Au  0.1211  0.6250  0.2500  4 Au 2.71-2.75, 2 Ir 2.75, 2 Pd 2.76
Pd  0.2500  0.7500  0.5000  4 Ir 2.73, 4 Au 2.76
Au  0.3750  0.3711  0.7500  4 Au 2.71-2.75, 2 Ir 2.75, 2 Pd 2.76
Ir  0.0000  0.0000  0.0000  4 Pd 2.73, 4 Au 2.75
Au  0.8750  0.8789  0.7500  4 Au 2.71-2.75, 2 Ir 2.75, 2 Pd 2.76
Ir  0.7500  0.2500  0.5000  4 Pd 2.73, 4 Au 2.75

Calculated values
**Calculated density**: 16.1 g/cm³
**Symmetry**: I-42d (122)

Arrangement x

DFT (PBE) results for crystalline IrPdAu2 at its relaxed geometry.

Cell lengths 4.5386, 4.5386, 4.5386 Å; angles 60.00, 60.00, 60.00 degrees
With the nearest neighbours (Å) after each atom.
Element x y z (fractional)
Pd  0.0000  0.0000  0.0000  8 Au 2.78
Au  0.2500  0.2500  0.2500  4 Ir 2.78, 4 Pd 2.78
Au  0.7500  0.7500  0.7500  4 Ir 2.78, 4 Pd 2.78
Ir  0.5000  0.5000  0.5000  8 Au 2.78

Calculated values
**Calculated density**: 17.4 g/cm³
**Symmetry**: Fm-3m (225)

Least stable = arrangement w

Arrangement w

DFT (PBE) results for crystalline Ir2PdAu at its relaxed geometry.

Cell lengths 7.2143, 7.2143, 5.7383 Å; angles 51.05, 51.05, 90.00 degrees
With the nearest neighbours (Å) after each atom.
Element x y z (fractional)
Au  0.7500  0.2500  0.5000  2 Pd 2.63, 4 Ir 2.67
Au  0.0000  0.0000  0.0000  2 Pd 2.63, 4 Ir 2.67
Pd  0.2500  0.7500  0.5000  4 Ir 2.60, 2 Au 2.63
Ir  0.8750  0.8675  0.7500  2 Pd 2.60, 2 Ir 2.63, 2 Au 2.67
Ir  0.6175  0.1250  0.2500  2 Pd 2.60, 2 Ir 2.63, 2 Au 2.67
Pd  0.5000  0.5000  0.0000  4 Ir 2.60, 2 Au 2.63
Ir  0.3750  0.3825  0.7500  2 Pd 2.60, 2 Ir 2.63, 2 Au 2.67
Ir  0.1325  0.6250  0.2500  2 Pd 2.60, 2 Ir 2.63, 2 Au 2.67

Calculated values
**Calculated density**: 16.7 g/cm³
**Symmetry**: I-42d (122)

Arrangement x

DFT (PBE) results for crystalline Ir2PdAu at its relaxed geometry.

Cell lengths 4.4603, 4.4603, 4.4603 Å; angles 60.00, 60.00, 60.00 degrees
With the nearest neighbours (Å) after each atom.
Element x y z (fractional)
Ir  0.2500  0.2500  0.2500  4 Au 2.73, 4 Pd 2.73
Au  0.5000  0.5000  0.5000  8 Ir 2.73
Ir  0.7500  0.7500  0.7500  4 Au 2.73, 4 Pd 2.73
Pd  0.0000  0.0000  0.0000  8 Ir 2.73

Calculated values
**Calculated density**: 18.2 g/cm³
**Symmetry**: Fm-3m (225)

Least stable = arrangement w